--- a ---
A plane-wave DFT calculation with PBE was carried out for a geometry-optimized RbBeNb structure.

Values from the calculation:
Magnetization in μB per cell: 0.0

Geometry as POSCAR:
```
RbBeNb
1.0
5.090 0.000 0.000
-2.545 4.408 0.000
0.000 0.000 5.467
Rb Be Nb
2 2 2
direct
0.000 0.000 0.000
0.000 0.000 0.500
0.333 0.667 0.134
0.667 0.333 0.634
0.333 0.667 0.618
0.667 0.333 0.118
```

--- b ---
A plane-wave DFT calculation with PBE was carried out for a geometry-optimized RbBeNb structure.

Values from the calculation:
Magnetization in μB per cell: 0.0

Geometry as POSCAR:
```
RbBeNb
1.0
3.717 0.000 0.000
1.856 4.081 0.000
0.308 1.873 12.330
Rb Be Nb
2 2 2
direct
0.000 0.000 0.000
0.401 0.300 0.372
0.033 0.985 0.682
0.652 0.730 0.789
0.346 0.351 0.737
0.706 0.651 0.607
```

--- c ---
A plane-wave DFT calculation with PBE was carried out for a geometry-optimized RbBeNb structure.

Values from the calculation:
Magnetization in μB per cell: 0.0

Geometry as POSCAR:
```
RbBeNb
1.0
12.676 -1.938 0.000
12.676 1.938 0.000
-0.031 0.000 3.546
Rb Be Nb
2 2 2
direct
0.000 0.000 0.000
0.680 0.680 0.483
0.814 0.814 0.474
0.866 0.866 0.978
0.301 0.301 0.974
0.379 0.379 0.479
```

--- d ---
A plane-wave DFT calculation with PBE was carried out for a geometry-optimized RbBeNb structure.

Values from the calculation:
Magnetization in μB per cell: 0.0

Geometry as POSCAR:
```
RbBeNb
1.0
8.768 0.000 0.000
0.000 3.572 0.000
0.000 0.000 11.552
Rb Be Nb
4 4 4
direct
0.040 0.250 0.171
0.460 0.750 0.671
0.540 0.250 0.329
0.960 0.750 0.829
0.189 0.750 0.413
0.311 0.250 0.913
0.689 0.750 0.087
0.811 0.250 0.587
0.091 0.250 0.541
0.409 0.750 0.041
0.591 0.250 0.959
0.909 0.750 0.459
```

Which structure loses on stability? a does.